w.
Here is an optimized crystal structure of Li3FePCO7 from Alexandria via LeMat-Bulk. Energies are from PBE with a Hubbard U.

Magnetic moment: 4.0 μB/f.u.
Crystal system: monoclinic
DOS(E_F): 0.000 states/eV/cell

Unit cell a=4.8853 b=6.5218 c=8.9475 alpha=90.00 beta=95.54 gamma=90.00
With the nearest neighbours (Å) after each atom.
Space group Pm (No. 6)
Unique sites:
Li (0.0000, 0.2054, 0.0000) [2 per cell]  4 O 1.98-2.16
Li (0.3064, 0.2944, 0.5813) [2 per cell]  4 O 1.98-2.16
Li (0.6536, 0.2505, 0.2919) [2 per cell]  4 O 2.23-2.31
Fe (0.3985, 0.5000, 0.9390) [1 per cell]  5 O 2.03-2.24
Fe (0.9077, 0.0000, 0.6421) [1 per cell]  5 O 2.03-2.24
P (0.4790, 0.0000, 0.8612) [1 per cell]  4 O 1.54-1.57
P (0.8271, 0.5000, 0.7197) [1 per cell]  4 O 1.54-1.57
C (0.0934, 0.0000, 0.3028) [1 per cell]  3 O 1.28-1.32
C (0.2130, 0.5000, 0.2786) [1 per cell]  3 O 1.28-1.32
O (0.3389, 0.5000, 0.4140) [1 per cell]  1 C 1.30
O (0.3556, 0.0000, 0.3320) [1 per cell]  1 C 1.28
O (0.3670, 0.0000, 0.6903) [1 per cell]  1 P 1.57
O (0.3783, 0.5000, 0.1702) [1 per cell]  1 C 1.32
O (0.3817, 0.1885, 0.9444) [2 per cell]  1 P 1.54
O (0.5064, 0.5000, 0.7178) [1 per cell]  1 P 1.57
O (0.7998, 0.0000, 0.8633) [1 per cell]  1 P 1.57
O (0.9243, 0.3116, 0.6364) [2 per cell]  1 P 1.54
O (0.9265, 0.0000, 0.4106) [1 per cell]  1 C 1.32
O (0.9393, 0.5000, 0.8906) [1 per cell]  1 P 1.57
O (0.9505, 0.5000, 0.2506) [1 per cell]  1 C 1.28
O (0.9693, 0.0000, 0.1672) [1 per cell]  1 C 1.30



x.
Here is an optimized crystal structure of Li3FePCO7 from Alexandria via LeMat-Bulk. Energies are from PBE with a Hubbard U.

Magnetic moment: 4.0 μB/f.u.
Crystal system: monoclinic
DOS(E_F): 0.000 states/eV/cell

Unit cell a=5.0238 b=6.4396 c=8.6797 alpha=90.00 beta=97.76 gamma=90.00
With the nearest neighbours (Å) after each atom.
Space group P2_1 (No. 4)
Unique sites:
Li (0.1629, 0.0000, 0.0709) [2 per cell]  4 O 1.96-2.13
Li (0.2658, 0.8933, 0.6988) [2 per cell]  4 O 1.99-2.07
Li (0.2794, 0.4028, 0.7276) [2 per cell]  4 O 2.02-2.22
Fe (0.2172, 0.6500, 0.3396) [2 per cell]  5 O 2.03-2.22
P (0.2532, 0.1560, 0.3997) [2 per cell]  4 O 1.54-1.57
C (0.3579, 0.6098, 0.0480) [2 per cell]  3 O 1.28-1.32
O (0.1117, 0.6724, 0.0510) [2 per cell]  1 C 1.30
O (0.1316, 0.3447, 0.3050) [2 per cell]  1 P 1.55
O (0.1485, 0.9610, 0.3022) [2 per cell]  1 P 1.57
O (0.1614, 0.1520, 0.5620) [2 per cell]  1 P 1.54
O (0.4319, 0.6598, 0.5805) [2 per cell]  1 P 1.57
O (0.4437, 0.5493, 0.9232) [2 per cell]  1 C 1.28
O (0.4812, 0.1125, 0.8189) [2 per cell]  1 C 1.32



Looking at the structures above, x is most stable, and the difference to the next one is 51 meV per atom.